Crystalline K2BiMoPO8 at its relaxed geometry. Source: the Alexandria database, functional GGA-PBEsol.

a = 7.065 Å, b = 12.148 Å, c = 12.148 Å
α = 61.42°, β = 73.10°, γ = 73.10°
Fractional positions:
1 Bi 0.750 0.827 0.173
2 K 0.876 0.576 0.735
3 O 0.930 0.640 0.338
4 Bi 0.250 0.173 0.827
5 K 0.686 0.924 0.765
6 O 0.165 0.919 0.644
7 O 0.835 0.081 0.356
8 O 0.179 0.338 0.896
9 O 0.592 0.140 0.838
10 O 0.729 0.856 0.581
11 O 0.213 0.565 0.561
12 O 0.413 0.604 0.162
13 O 0.771 0.419 0.144
14 Mo 0.832 0.918 0.418
15 O 0.913 0.162 0.604
16 O 0.838 0.935 0.939
17 Bi 0.250 0.673 0.327
18 O 0.908 0.162 0.860
19 O 0.662 0.061 0.065
20 O 0.092 0.838 0.140
21 P 0.250 0.428 0.572
22 O 0.430 0.338 0.640
23 K 0.376 0.735 0.576
24 P 0.750 0.572 0.428
25 Mo 0.168 0.082 0.582
26 K 0.624 0.265 0.424
27 K 0.314 0.076 0.235
28 O 0.821 0.662 0.104
29 P 0.250 0.928 0.072
30 O 0.070 0.360 0.662
31 O 0.713 0.561 0.565
32 O 0.587 0.396 0.838
33 K 0.814 0.235 0.076
34 Bi 0.750 0.327 0.673
35 O 0.162 0.065 0.061
36 O 0.271 0.144 0.419
37 O 0.665 0.644 0.919
38 O 0.321 0.104 0.662
39 O 0.335 0.356 0.081
40 O 0.570 0.662 0.360
41 K 0.124 0.424 0.265
42 O 0.338 0.939 0.935
43 O 0.679 0.896 0.338
44 O 0.229 0.581 0.856
45 Mo 0.668 0.582 0.082
46 O 0.408 0.860 0.162
47 O 0.287 0.439 0.435
48 O 0.087 0.838 0.396
49 Mo 0.332 0.418 0.918
50 K 0.186 0.765 0.924
51 O 0.787 0.435 0.439
52 P 0.750 0.072 0.928

## Properties
For the total moment, the calculation gives 0.00 μB per atom. The raw formation energy is -200 kJ/mol of atoms.